Entry 1:
VASP calculation (PBE) on a relaxed structure of RbCoSi.

Geometry as CIF:
```
data_RbCoSi
_chemical_formula_sum 'Rb1 Co1 Si1'
_symmetry_space_group_name_H-M 'P 1'
_symmetry_Int_Tables_number 1
_symmetry_space_group_name_Hall 'P 1'
_cell_length_a 4.587
_cell_length_b 4.587
_cell_length_c 4.587
_cell_angle_alpha 60.00
_cell_angle_beta 60.00
_cell_angle_gamma 60.00
loop_
_atom_site_label
_atom_site_fract_x
_atom_site_fract_y
_atom_site_fract_z
Co1 0.000 0.000 0.000
Rb1 0.250 0.250 0.250
Si1 0.750 0.750 0.750
```

Space-group type   F-43m (216)
Crystal system   cubic

=====

Entry 2:
VASP calculation (PBE) on a relaxed structure of RbCoSi.

Geometry as CIF:
```
data_RbCoSi
_chemical_formula_sum 'Rb1 Co1 Si1'
_symmetry_space_group_name_H-M 'P 1'
_symmetry_Int_Tables_number 1
_symmetry_space_group_name_Hall 'P 1'
_cell_length_a 4.759
_cell_length_b 4.759
_cell_length_c 4.759
_cell_angle_alpha 60.00
_cell_angle_beta 60.00
_cell_angle_gamma 60.00
loop_
_atom_site_label
_atom_site_fract_x
_atom_site_fract_y
_atom_site_fract_z
Co1 0.250 0.250 0.250
Rb1 0.750 0.750 0.750
Si1 0.000 0.000 0.000
```

Space-group type   F-43m (216)
Crystal system   cubic

=====

Entry 3:
VASP calculation (PBE) on a relaxed structure of RbCoSi.

Geometry as CIF:
```
data_RbCoSi
_chemical_formula_sum 'Rb1 Co1 Si1'
_symmetry_space_group_name_H-M 'P 1'
_symmetry_Int_Tables_number 1
_symmetry_space_group_name_Hall 'P 1'
_cell_length_a 5.157
_cell_length_b 5.157
_cell_length_c 5.157
_cell_angle_alpha 60.00
_cell_angle_beta 60.00
_cell_angle_gamma 60.00
loop_
_atom_site_label
_atom_site_fract_x
_atom_site_fract_y
_atom_site_fract_z
Co1 0.250 0.250 0.250
Rb1 0.000 0.000 0.000
Si1 0.750 0.750 0.750
```

Space-group type   F-43m (216)
Crystal system   cubic

=====

no.,total DFT energy (no corrections) (eV per atom),distance to the lowest polymorph of the same formula (eV/atom)
1,-3.31,0.000
2,-3.12,0.191
3,-2.42,0.895